[1]
Density functional theory data (PBE) for a geometry-optimized AlAs4W structure.

M_tot in Bohr magnetons per cell: 0.005
ΔH_f (0 K) in eV/atom: 0.92
DFT total energy in eV/atom: -4.963

Lattice parameters (Å, degrees): 7.6510 7.6510 7.6510 90.00 90.00 90.00
Closest atoms and distances in Å follow each position.
Space group F-43m (No. 216)
Asymmetric unit:
1 Al 0.0000 0.0000 0.0000 (multiplicity 4)  12 As 3.17, 4 W 3.31
2 As 0.1238 0.1238 0.6238 (multiplicity 16)  6 As 2.68-2.73
3 W 0.2500 0.2500 0.2500 (multiplicity 4)  12 As 3.17, 4 Al 3.31

[2]
Density functional theory data (PBE) for a geometry-optimized P2OsSe structure.

Formation energy from raw total energies in eV/atom: 0.486
M_tot in Bohr magnetons per cell: 0.000
DFT total energy in eV/atom: -5.898

Lattice parameters (Å, degrees): 2.9061 4.5612 10.3051 90.00 90.00 90.00
Closest atoms and distances in Å follow each position.
Space group Immm (No. 71)
Asymmetric unit:
1 P 0.0000 0.0000 0.1893 (multiplicity 4)  2 Os 2.43
2 Os 0.0000 0.5000 0.5000 (multiplicity 2)  4 P 2.43, 4 Se 2.70
3 Se 0.0000 0.5000 0.0000 (multiplicity 2)  4 Os 2.70, 2 Se 2.91, 4 P 3.00

[3]
Density functional theory data (PBE) for a geometry-optimized Pm6InNi2 structure.

M_tot in Bohr magnetons per cell: 0.000
ΔH_f (0 K) in eV/atom: -0.28
DFT total energy in eV/atom: -5.032

Lattice parameters (Å, degrees): 9.4457 10.0758 10.4591 90.00 90.00 90.00
Closest atoms and distances in Å follow each position.
Space group Immm (No. 71)
Asymmetric unit:
1 Pm 0.0000 0.2017 0.2308 (multiplicity 8)  1 Ni 2.88, 1 In 3.16
2 Pm 0.1907 0.5000 0.1773 (multiplicity 8)  3 Ni 2.79-2.96
3 Pm 0.2062 0.3164 0.5000 (multiplicity 8)  3 Ni 2.96-3.28
4 In 0.0000 0.0000 0.0000 (multiplicity 2)  8 Pm 3.16-3.34
5 In 0.0000 0.0000 0.5000 (multiplicity 2)  12 Pm 3.46-3.74
6 Ni 0.0000 0.3573 0.0000 (multiplicity 4)  1 Ni 2.88, 6 Pm 2.88-2.96
7 Ni 0.0000 0.5000 0.3805 (multiplicity 4)  1 Ni 2.50, 2 Pm 2.79

- Look up the DFT total energy of the third one.
  -5.032 eV/atom